# 1
A relaxed structure of LaCrRu. Source: the Alexandria database, functional PBE-GGA.

For the distance to the lowest polymorph of the same formula, the calculation gives 0.073 eV per atom. Its total energy is -7.705 eV/atom. Its formation energy is 0.237 eV/atom.

The structure belongs to space group I4mm (No. 107); the cell edges are 3.0864, 3.0864 and 11.8693 Å and the angles 90.00°, 90.00° and 90.00°. The inequivalent atoms are La at (0.0000, 0.0000, 0.0000), Cr at (0.0000, 0.0000, 0.2991) and Ru at (0.0000, 0.0000, 0.7057).

***

# 2
A relaxed structure of LaCrRu2. Source: the Alexandria database, functional PBE-GGA.

For the distance to the lowest polymorph of the same formula, the calculation gives 0.266 eV per atom. Its total energy is -7.885 eV/atom. Its formation energy is 0.391 eV/atom.

The structure belongs to space group I-42d (No. 122); the cell edges are 7.1362, 7.1362 and 6.0487 Å and the angles 90.00°, 90.00° and 90.00°. The inequivalent atoms are La at (0.0000, 0.0000, 0.0000), Cr at (0.0000, 0.0000, 0.5000) and Ru at (0.1787, 0.2500, 0.6250).

***

# 3
A relaxed structure of LaCrRu2. Source: the Alexandria database, functional PBE-GGA.

For the distance to the lowest polymorph of the same formula, the calculation gives 0.192 eV per atom. Its total energy is -7.959 eV/atom. Its formation energy is 0.317 eV/atom.

The structure belongs to space group Cm (No. 8); the cell edges are 9.7396, 3.0765 and 5.1672 Å and the angles 90.00°, 104.73° and 90.00°. The inequivalent atoms are La at (0.0000, 0.0000, 0.0000), Cr at (0.2839, 0.5000, 0.3431), Ru at (0.0045, 0.5000, 0.5150) and Ru at (0.2332, 0.0000, 0.6694).

***

# 4
A relaxed structure of LaCrRu2. Source: the Alexandria database, functional PBE-GGA.

For the distance to the lowest polymorph of the same formula, the calculation gives 0.396 eV per atom. Its total energy is -7.756 eV/atom. Its formation energy is 0.520 eV/atom.

The structure belongs to space group R-3m (No. 166, hexagonal axes); the cell edges are 2.9375, 2.9375 and 27.3296 Å and the angles 90.00°, 90.00° and 120.00°. The inequivalent atoms are La at (0.0000, 0.0000, 0.0000), Cr at (0.0000, 0.0000, 0.5000) and Ru at (0.0000, 0.0000, 0.2345).